(1)
DFT (PBE-GGA) results for a relaxed BaFeOs crystal.

Calculated values
ΔE to the lowest computed polymorph   20.3 meV/atom
Energy of formation   0.37 eV/atom
Space group   P2_1/m, No. 11

abc: 4.840 4.133 9.352
angles: 90.00 92.63 90.00
Fractional positions:
Ba 0.233 0.250 0.282
Ba 0.767 0.750 0.718
Fe 0.128 0.750 0.008
Fe 0.872 0.250 0.992
Os 0.366 0.250 0.948
Os 0.634 0.750 0.052


(2)
DFT (PBE-GGA) results for a relaxed TmThCuPb crystal.

Calculated values
Energy of formation   -0.13 eV/atom
Space group   F-43m, No. 216

abc: 5.257 5.257 5.257
angles: 60.00 60.00 60.00
Fractional positions:
Tm 0.000 0.000 0.000
Th 0.500 0.500 0.500
Cu 0.750 0.750 0.750
Pb 0.250 0.250 0.250


(3)
DFT (PBE-GGA) results for a relaxed TcSBr2 crystal.

Calculated values
Uncorrected formation energy   -0.03 eV per atom
ΔE to the lowest computed polymorph   0.0 meV/atom
Space group   I-42d, No. 122

abc: 7.096 7.096 7.096
angles: 95.62 95.62 143.53
Fractional positions:
Tc 0.000 0.000 0.000
Tc 0.750 0.250 0.500
S 0.250 0.750 0.500
S 0.500 0.500 0.000
Br 0.375 0.023 0.148
Br 0.773 0.625 0.648
Br 0.875 0.227 0.852
Br 0.977 0.125 0.352


(4)
DFT (PBE-GGA) results for a relaxed Y2ZrRu crystal.

Calculated values
ΔE to the lowest computed polymorph   206.4 meV/atom
Energy of formation   -0.03 eV/atom
Space group   Pm, No. 6

abc: 3.481 4.479 6.399
angles: 90.00 105.31 90.00
Fractional positions:
Y 0.000 0.000 0.000
Y 0.320 0.500 0.686
Zr 0.660 0.500 0.255
Ru 0.517 0.000 0.446


(5)
DFT (PBE-GGA) results for a relaxed Pm5Ga3 crystal.

Calculated values
ΔE to the lowest computed polymorph   0.0 meV/atom
Energy of formation   -0.46 eV/atom
Space group   P4/ncc, No. 130

abc: 7.821 7.821 14.531
angles: 90.00 90.00 90.00
Fractional positions:
Pm 0.064 0.593 0.103
Pm 0.064 0.907 0.603
Pm 0.093 0.564 0.397
Pm 0.093 0.936 0.897
Pm 0.250 0.250 0.220
Pm 0.250 0.250 0.720
Pm 0.407 0.564 0.897
Pm 0.407 0.936 0.397
Pm 0.436 0.593 0.603
Pm 0.436 0.907 0.103
Pm 0.564 0.093 0.897
Pm 0.564 0.407 0.397
Pm 0.593 0.064 0.603
Pm 0.593 0.436 0.103
Pm 0.750 0.750 0.280
Pm 0.750 0.750 0.780
Pm 0.907 0.064 0.103
Pm 0.907 0.436 0.603
Pm 0.936 0.093 0.397
Pm 0.936 0.407 0.897
Ga 0.130 0.630 0.750
Ga 0.130 0.870 0.250
Ga 0.250 0.250 0.006
Ga 0.250 0.250 0.506
Ga 0.370 0.630 0.250
Ga 0.370 0.870 0.750
Ga 0.630 0.130 0.250
Ga 0.630 0.370 0.750
Ga 0.750 0.750 0.494
Ga 0.750 0.750 0.994
Ga 0.870 0.130 0.750
Ga 0.870 0.370 0.250


(6)
DFT (PBE-GGA) results for a relaxed Sr2Hg2As crystal.

Calculated values
ΔE to the lowest computed polymorph   0.0 meV/atom
Energy of formation   -0.50 eV/atom
Space group   P4/mbm, No. 127

abc: 8.120 8.120 4.604
angles: 90.00 90.00 90.00
Fractional positions:
Sr 0.181 0.319 0.000
Sr 0.319 0.819 0.000
Sr 0.681 0.181 0.000
Sr 0.819 0.681 0.000
Hg 0.126 0.626 0.500
Hg 0.374 0.126 0.500
Hg 0.626 0.874 0.500
Hg 0.874 0.374 0.500
As 0.000 0.000 0.500
As 0.500 0.500 0.500


(7)
DFT (PBE-GGA) results for a relaxed Be2Cu2Rh crystal.

Calculated values
ΔE to the lowest computed polymorph   0.0 meV/atom
Energy of formation   -0.15 eV/atom
Space group   P4/mbm, No. 127

abc: 6.228 6.228 2.759
angles: 90.00 90.00 90.00
Fractional positions:
Be 0.138 0.362 0.000
Be 0.362 0.862 0.000
Be 0.638 0.138 0.000
Be 0.862 0.638 0.000
Cu 0.156 0.656 0.500
Cu 0.344 0.156 0.500
Cu 0.656 0.844 0.500
Cu 0.844 0.344 0.500
Rh 0.000 0.000 0.000
Rh 0.500 0.500 0.000


(8)
DFT (PBE-GGA) results for a relaxed Ba2PmZnSe5 crystal.

Calculated values
Uncorrected formation energy   -1.54 eV per atom
Space group   Cmc2_1, No. 36

abc: 9.647 9.647 13.421
angles: 90.00 90.00 154.05
Fractional positions:
Ba 0.119 0.881 0.500
Ba 0.125 0.875 0.141
Ba 0.875 0.125 0.641
Ba 0.881 0.119 0.000
Pm 0.198 0.802 0.831
Pm 0.802 0.198 0.331
Zn 0.444 0.556 0.238
Zn 0.556 0.444 0.738
Se 0.037 0.963 0.832
Se 0.302 0.698 0.478
Se 0.313 0.687 0.179
Se 0.350 0.650 0.822
Se 0.497 0.503 0.576
Se 0.503 0.497 0.076
Se 0.650 0.350 0.322
Se 0.687 0.313 0.679
Se 0.698 0.302 0.978
Se 0.963 0.037 0.332


(9)
DFT (PBE-GGA) results for a relaxed Te2SeBr crystal.

Calculated values
Uncorrected formation energy   0.07 eV per atom
ΔE to the lowest computed polymorph   131.7 meV/atom
Space group   Pmmm, No. 47

abc: 3.458 4.346 8.080
angles: 90.00 90.00 90.00
Fractional positions:
Te 0.000 0.000 0.225
Te 0.000 0.000 0.775
Se 0.000 0.500 0.000
Br 0.000 0.500 0.500


(10)
DFT (PBE-GGA) results for a relaxed Cd4In2Sn crystal.

Calculated values
ΔE to the lowest computed polymorph   232.9 meV/atom
Energy of formation   0.28 eV/atom
Space group   I4/mmm, No. 139

abc: 8.346 8.346 8.346
angles: 139.92 139.92 57.98
Fractional positions:
Cd 0.000 0.500 0.500
Cd 0.199 0.199 0.000
Cd 0.500 0.000 0.500
Cd 0.801 0.801 0.000
In 0.397 0.397 0.000
In 0.603 0.603 0.000
Sn 0.000 0.000 0.000


(11)
DFT (PBE-GGA) results for a relaxed Ac3PrSm3S8 crystal.

Calculated values
Uncorrected formation energy   -2.03 eV per atom
Space group   R-3m, No. 166

abc: 8.382 8.382 8.382
angles: 58.60 58.60 58.60
Fractional positions:
Ac 0.000 0.500 0.500
Ac 0.500 0.000 0.500
Ac 0.500 0.500 0.000
Pr 0.500 0.500 0.500
Sm 0.000 0.000 0.500
Sm 0.000 0.500 0.000
Sm 0.500 0.000 0.000
S 0.239 0.748 0.748
S 0.243 0.243 0.243
S 0.252 0.252 0.761
S 0.252 0.761 0.252
S 0.748 0.239 0.748
S 0.748 0.748 0.239
S 0.757 0.757 0.757
S 0.761 0.252 0.252


(12)
DFT (PBE-GGA) results for a relaxed EuZrBi2 crystal.

Calculated values
Energy of formation   -0.46 eV/atom
Space group   P4/mmm, No. 123

abc: 3.708 3.708 8.288
angles: 90.00 90.00 90.00
Fractional positions:
Eu 0.000 0.000 0.000
Zr 0.000 0.000 0.500
Bi 0.500 0.500 0.280
Bi 0.500 0.500 0.720


(13)
DFT (PBE-GGA) results for a relaxed DyFeRh crystal.

Calculated values
Energy of formation   -0.16 eV/atom
Space group   P4/mmm, No. 123

abc: 3.261 3.261 9.725
angles: 90.00 90.00 90.00
Fractional positions:
Dy 0.000 0.000 0.172
Dy 0.000 0.000 0.828
Fe 0.000 0.000 0.500
Fe 0.500 0.500 0.000
Rh 0.500 0.500 0.358
Rh 0.500 0.500 0.642


(14)
DFT (PBE-GGA) results for a relaxed CsNdIn2Cl6 crystal.

Calculated values
Uncorrected formation energy   -1.65 eV per atom
Space group   P1, No. 1

abc: 8.016 8.033 8.329
angles: 61.26 61.23 60.07
Fractional positions:
Cs 0.000 0.000 0.000
Nd 0.515 0.515 0.454
In 0.207 0.207 0.379
In 0.716 0.715 0.853
Cl 0.170 0.755 0.655
Cl 0.356 0.573 0.189
Cl 0.420 0.170 0.654
Cl 0.574 0.879 0.189
Cl 0.756 0.420 0.654
Cl 0.880 0.358 0.188


(15)
DFT (PBE-GGA) results for a relaxed PtAu2F6 crystal.

Calculated values
Uncorrected formation energy   -0.97 eV per atom
Space group   P2_1/c, No. 14

abc: 5.505 5.524 10.733
angles: 90.00 106.02 90.00
Fractional positions:
Pt 0.000 0.000 0.000
Pt 0.000 0.500 0.500
Au 0.438 0.194 0.761
Au 0.438 0.306 0.261
Au 0.562 0.694 0.739
Au 0.562 0.806 0.239
F 0.003 0.560 0.681
F 0.003 0.940 0.181
F 0.200 0.203 0.566
F 0.200 0.297 0.066
F 0.328 0.679 0.543
F 0.328 0.821 0.043
F 0.672 0.179 0.957
F 0.672 0.321 0.457
F 0.800 0.703 0.934
F 0.800 0.797 0.434
F 0.997 0.060 0.819
F 0.997 0.440 0.319


(16)
DFT (PBE-GGA) results for a relaxed SrInGe crystal.

Calculated values
Energy of formation   -0.41 eV/atom
Space group   C2/m, No. 12

abc: 6.559 6.559 7.624
angles: 125.35 125.35 43.89
Fractional positions:
Sr 0.000 0.000 0.000
Sr 0.500 0.500 0.500
In 0.250 0.250 0.593
In 0.750 0.750 0.407
Ge 0.253 0.253 0.947
Ge 0.747 0.747 0.053


(17)
DFT (PBE-GGA) results for a relaxed MgTaPt2 crystal.

Calculated values
Energy of formation   -0.78 eV/atom
Space group   P2/m, No. 10

abc: 2.896 2.898 7.723
angles: 90.00 90.09 90.00
Fractional positions:
Mg 0.000 0.000 0.000
Ta 0.000 0.000 0.500
Pt 0.499 0.500 0.249
Pt 0.501 0.500 0.751


(18)
DFT (PBE-GGA) results for a relaxed YRu3C crystal.

Calculated values
Energy of formation   0.44 eV/atom
Space group   Cmcm, No. 63

abc: 7.894 7.894 4.731
angles: 90.00 90.00 142.90
Fractional positions:
Y 0.100 0.900 0.750
Y 0.900 0.100 0.250
Ru 0.031 0.460 0.750
Ru 0.460 0.031 0.250
Ru 0.500 0.500 0.000
Ru 0.500 0.500 0.500
Ru 0.540 0.969 0.750
Ru 0.969 0.540 0.250
C 0.385 0.615 0.750
C 0.615 0.385 0.250


(19)
DFT (PBE-GGA) results for a relaxed CsSr2Hg2Pb2 crystal.

Calculated values
Energy of formation   -0.35 eV/atom
Space group   R-3m, No. 166

abc: 11.422 11.422 11.422
angles: 27.40 27.40 27.40
Fractional positions:
Cs 0.000 0.000 0.000
Sr 0.134 0.134 0.134
Sr 0.866 0.866 0.866
Hg 0.443 0.443 0.443
Hg 0.557 0.557 0.557
Pb 0.248 0.248 0.248
Pb 0.752 0.752 0.752


(20)
DFT (PBE-GGA) results for a relaxed DyThTlZn crystal.

Calculated values
Energy of formation   -0.20 eV/atom
Space group   F-43m, No. 216

abc: 5.307 5.307 5.307
angles: 60.00 60.00 60.00
Fractional positions:
Dy 0.000 0.000 0.000
Th 0.500 0.500 0.500
Tl 0.250 0.250 0.250
Zn 0.750 0.750 0.750